1.
An optimized crystal structure of CaBe2Tc2, computed with PBE.

Properties
ΔH_f (0 K)	0.259	eV/atom
offset from the most stable computed form	0.136	eV/atom
electronic total energy	-57.78	eV for the cell shown

Unit cell a=6.595 b=6.595 c=3.170 alpha=90.00 beta=90.00 gamma=90.00
Element x y z (fractional)
Ca  0.000  0.000  0.000
Ca  0.500  0.500  0.000
Be  0.115  0.385  0.000
Be  0.385  0.885  0.000
Be  0.615  0.115  0.000
Be  0.885  0.615  0.000
Tc  0.160  0.660  0.500
Tc  0.340  0.160  0.500
Tc  0.660  0.840  0.500
Tc  0.840  0.340  0.500

=====

2.
An optimized crystal structure of CaBe2Tc, computed with PBE.

Properties
ΔH_f (0 K)	0.205	eV/atom
offset from the most stable computed form	0.105	eV/atom
electronic total energy	-19.00	eV for the cell shown

Unit cell a=3.402 b=5.778 c=5.778 alpha=33.80 beta=90.00 gamma=90.00
Element x y z (fractional)
Ca  0.000  0.000  0.000
Be  0.000  0.242  0.242
Be  0.500  0.351  0.351
Tc  0.500  0.716  0.716

=====

3.
An optimized crystal structure of CaBeTc, computed with PBE.

Properties
ΔH_f (0 K)	0.885	eV/atom
offset from the most stable computed form	0.626	eV/atom
electronic total energy	-13.44	eV for the cell shown

Unit cell a=4.307 b=4.307 c=4.307 alpha=60.00 beta=60.00 gamma=60.00
Element x y z (fractional)
Ca  0.000  0.000  0.000
Be  0.750  0.750  0.750
Tc  0.500  0.500  0.500

=====

| no. | density of states at the Fermi level (states/eV per atom) |
| --- | --- |
| 1 | 0.772 |
| 2 | 0.709 |
| 3 | 1.297 |